# 1
First-principles (meta-GGA SCAN) data for a PBEsol-optimized structure of IrRuBr2, as listed in Alexandria.

Computed properties:
E above lowest polymorph: 14.10 kcal/mol of atoms
raw formation energy: 1.20 eV/atom

Cell: 3.046 4.327 5.134 Å, 90.00 93.70 90.00°
Space group P2/m (No. 10)
Asymmetric unit:
Ir 0.000 0.000 0.000 (multiplicity 1)
Ru 0.500 0.000 0.500 (multiplicity 1)
Br 0.259 0.500 0.252 (multiplicity 2)

---

# 2
First-principles (meta-GGA SCAN) data for a PBEsol-optimized structure of IrRuBr2, as listed in Alexandria.

Computed properties:
E above lowest polymorph: 0.00 kcal/mol of atoms
raw formation energy: 0.59 eV/atom

Cell: 12.180 2.998 4.631 Å, 90.00 97.30 90.00°
Space group C2/m (No. 12)
Asymmetric unit:
Ir 0.000 0.000 0.000 (multiplicity 2)
Ru 0.000 0.500 0.500 (multiplicity 2)
Br 0.152 0.000 0.718 (multiplicity 4)

---

# 3
First-principles (meta-GGA SCAN) data for a PBEsol-optimized structure of Ir3RuBr, as listed in Alexandria.

Computed properties:
raw formation energy: 2.38 eV/atom

Cell: 4.508 4.508 4.508 Å, 90.00 90.00 90.00°
Space group Pm-3m (No. 221)
Asymmetric unit:
Ir 0.000 0.000 0.500 (multiplicity 3)
Ru 0.500 0.500 0.500 (multiplicity 1)
Br 0.000 0.000 0.000 (multiplicity 1)